K4Ta | PBE-GGA | optimized geometry

Unit cell a=8.469 b=8.469 c=8.469 alpha=90.00 beta=90.00 gamma=90.00
Space group Im-3m (No. 229)
Inequivalent atoms, fractional coordinates:
1 K 0.250 0.250 0.250 [8 per cell]
2 Ta 0.000 0.000 0.000 [2 per cell]

E above lowest polymorph: 0 meV per atom
formation enthalpy at 0 K: 1167 meV/atom
total energy: -2.0815 eV/atom

=====

LiCdSi2Ni | PBE-GGA | optimized geometry

Unit cell a=4.385 b=4.385 c=4.205 alpha=90.00 beta=90.00 gamma=90.00
Space group P4/mmm (No. 123)
Inequivalent atoms, fractional coordinates:
1 Li 0.000 0.000 0.000 [1 per cell]
2 Cd 0.500 0.500 0.500 [1 per cell]
3 Si 0.000 0.500 0.000 [2 per cell]
4 Ni 0.000 0.000 0.500 [1 per cell]

uncorrected formation energy: 0.673 eV per atom
total energy: -3.2181 eV/atom

=====

Ac2La2Mg | PBE-GGA | optimized geometry

Unit cell a=4.493 b=4.493 c=20.196 alpha=90.00 beta=90.00 gamma=90.00
Space group I4/mmm (No. 139)
Inequivalent atoms, fractional coordinates:
1 Ac 0.000 0.000 0.090 [4 per cell]
2 La 0.000 0.500 0.250 [4 per cell]
3 Mg 0.000 0.000 0.500 [2 per cell]

E above lowest polymorph: 324 meV per atom
formation enthalpy at 0 K: 313 meV/atom
total energy: -3.6206 eV/atom

=====

MnNbSe2S | PBE-GGA | optimized geometry

Unit cell a=5.020 b=5.020 c=4.187 alpha=90.00 beta=90.00 gamma=90.00
Space group P4/mmm (No. 123)
Inequivalent atoms, fractional coordinates:
1 Mn 0.000 0.000 0.000 [1 per cell]
2 Nb 0.500 0.500 0.000 [1 per cell]
3 Se 0.000 0.500 0.500 [2 per cell]
4 S 0.000 0.000 0.500 [1 per cell]

E above lowest polymorph: 1280 meV per atom
uncorrected formation energy: 0.769 eV per atom
total energy: -5.2983 eV/atom

=====

CeCd2 | PBE-GGA | optimized geometry

Unit cell a=3.154 b=4.943 c=9.724 alpha=90.00 beta=90.00 gamma=90.00
Space group Immm (No. 71)
Inequivalent atoms, fractional coordinates:
1 Ce 0.000 0.000 0.000 [2 per cell]
2 Cd 0.000 0.000 0.334 [4 per cell]

formation enthalpy at 0 K: -100 meV/atom
total energy: -2.6885 eV/atom

=====

K3Tm2NpS6 | PBE-GGA | optimized geometry

Unit cell a=7.008 b=12.122 c=7.722 alpha=90.00 beta=107.55 gamma=90.00
Space group C2/m (No. 12)
Inequivalent atoms, fractional coordinates:
1 K 0.000 0.000 0.000 [2 per cell]
2 K 0.000 0.333 0.000 [4 per cell]
3 Tm 0.000 0.166 0.500 [4 per cell]
4 Np 0.000 0.500 0.500 [2 per cell]
5 S 0.227 0.000 0.701 [4 per cell]
6 S 0.237 0.330 0.700 [8 per cell]

uncorrected formation energy: -1.704 eV per atom
total energy: -5.8656 eV/atom

=====

Total magnetic moment? In order: 5.19 0.00 0.02 6.06 1.27 4.00 μB per formula unit.